1.
ErAs3Pd5: optimized geometry, PBE-GGA.

a = 4.1593 Å, b = 13.8831 Å, c = 11.3534 Å
α = 90.00°, β = 90.00°, γ = 90.00°
Space group Cmcm (No. 63)
One atom of each set of equivalent atoms:
Er1 0.0000 0.1853 0.2500 [4 per cell]
As1 0.0000 0.1327 0.7500 [4 per cell]
As2 0.0000 0.4123 0.5963 [8 per cell]
Pd1 0.0000 0.0000 0.0000 [4 per cell]
Pd2 0.0000 0.2343 0.5728 [8 per cell]
Pd3 0.0000 0.3978 0.1248 [8 per cell]

Summary:
**Energy relative to the elements**: -0.541 eV/atom

2.
Ho4CuRh2: optimized geometry, PBE-GGA.

a = 7.1462 Å, b = 7.2286 Å, c = 7.2868 Å
α = 106.01°, β = 106.89°, γ = 106.18°
Space group P1 (No. 1)
One atom of each set of equivalent atoms:
Ho1 0.0000 0.0000 0.0000 [1 per cell]
Ho2 0.0387 0.0988 0.5536 [1 per cell]
Ho3 0.1534 0.5544 0.9462 [1 per cell]
Ho4 0.4278 0.9482 0.8058 [1 per cell]
Ho5 0.4761 0.1348 0.3846 [1 per cell]
Ho6 0.5486 0.6738 0.4168 [1 per cell]
Ho7 0.6019 0.5101 0.8621 [1 per cell]
Ho8 0.8617 0.3857 0.2355 [1 per cell]
Cu1 0.6788 0.9072 0.1689 [1 per cell]
Cu2 0.9746 0.6928 0.6284 [1 per cell]
Rh1 0.1445 0.7917 0.3275 [1 per cell]
Rh2 0.2548 0.4903 0.5586 [1 per cell]
Rh3 0.3913 0.3018 0.0612 [1 per cell]
Rh4 0.7826 0.1923 0.7778 [1 per cell]

Summary:
**Excess energy over the best structure of this formula in the dataset**: 0.00 eV/f.u.
**Energy relative to the elements**: -0.577 eV/atom

3.
Sb3PAu: optimized geometry, PBE-GGA.

a = 5.1635 Å, b = 5.1635 Å, c = 5.1635 Å
α = 90.00°, β = 90.00°, γ = 90.00°
Space group Pm-3m (No. 221)
One atom of each set of equivalent atoms:
Sb1 0.0000 0.0000 0.5000 [3 per cell]
P1 0.0000 0.0000 0.0000 [1 per cell]
Au1 0.5000 0.5000 0.5000 [1 per cell]

Summary:
**Energy relative to the elements, uncorrected**: 16.1 kcal/mol of atoms
**Excess energy over the best structure of this formula in the dataset**: 0.00 eV/f.u.

4.
CePt3Rh: optimized geometry, PBE-GGA.

a = 4.8657 Å, b = 5.6591 Å, c = 13.7978 Å
α = 90.00°, β = 109.65°, γ = 90.00°
Space group P2_1/c (No. 14)
One atom of each set of equivalent atoms:
Ce1 0.1446 0.0281 0.1989 [4 per cell]
Pt1 0.0940 0.2391 0.9971 [4 per cell]
Pt2 0.2463 0.5290 0.1756 [4 per cell]
Pt3 0.3289 0.6231 0.9138 [4 per cell]
Rh1 0.4699 0.0959 0.8944 [4 per cell]

Summary:
**Excess energy over the best structure of this formula in the dataset**: 0.19 eV/f.u.
**Energy relative to the elements**: -0.560 eV/atom

5.
NaZrAs3: optimized geometry, PBE-GGA.

a = 4.8543 Å, b = 4.8543 Å, c = 4.8543 Å
α = 90.00°, β = 90.00°, γ = 90.00°
Space group Pm-3m (No. 221)
One atom of each set of equivalent atoms:
Na1 0.0000 0.0000 0.0000 [1 per cell]
Zr1 0.5000 0.5000 0.5000 [1 per cell]
As1 0.0000 0.0000 0.5000 [3 per cell]

Summary:
**Excess energy over the best structure of this formula in the dataset**: 4.76 eV/f.u.
**Energy relative to the elements**: 0.811 eV/atom

6.
TiGa2Ni3: optimized geometry, PBE-GGA.

a = 4.1549 Å, b = 4.1549 Å, c = 10.1876 Å
α = 90.00°, β = 90.00°, γ = 120.00°
Space group P-3m1 (No. 164)
One atom of each set of equivalent atoms:
Ti1 0.3333 0.6667 0.1661 [2 per cell]
Ga1 0.0000 0.0000 0.0000 [1 per cell]
Ga2 0.0000 0.0000 0.5000 [1 per cell]
Ga3 0.3333 0.6667 0.6714 [2 per cell]
Ni1 0.0000 0.0000 0.2541 [2 per cell]
Ni2 0.3333 0.6667 0.4179 [2 per cell]
Ni3 0.3333 0.6667 0.9167 [2 per cell]

Summary:
**Energy relative to the elements**: -0.472 eV/atom

7.
HgIrPb2O: optimized geometry, PBE-GGA.

a = 4.9010 Å, b = 4.9010 Å, c = 4.5689 Å
α = 90.00°, β = 90.00°, γ = 90.00°
Space group P4/mmm (No. 123)
One atom of each set of equivalent atoms:
Hg1 0.0000 0.0000 0.0000 [1 per cell]
Ir1 0.5000 0.5000 0.0000 [1 per cell]
Pb1 0.0000 0.5000 0.5000 [2 per cell]
O1 0.0000 0.0000 0.5000 [1 per cell]

Summary:
**Energy relative to the elements, uncorrected**: 8.2 kcal/mol of atoms

8.
LiZn2In2: optimized geometry, PBE-GGA.

a = 7.4691 Å, b = 7.4691 Å, c = 3.7644 Å
α = 90.00°, β = 90.00°, γ = 90.00°
Space group P4/mbm (No. 127)
One atom of each set of equivalent atoms:
Li1 0.0000 0.0000 0.0000 [2 per cell]
Zn1 0.1225 0.3775 0.0000 [4 per cell]
In1 0.1806 0.6806 0.5000 [4 per cell]

Summary:
**Excess energy over the best structure of this formula in the dataset**: 0.00 eV/f.u.
**Energy relative to the elements**: -0.020 eV/atom